Density functional theory data (PBE) for an optimized crystal structure of KV3Br.

energy relative to the lowest polymorph listed for this composition = 0.000 eV per atom
N(E_F) = 1.579 states/eV per atom
formation energy from raw total energies = 1.423 eV/atom
M_tot = 4.7 μB/f.u.

abc: 4.7655 4.7655 4.7655
angles: 90.00 90.00 90.00
Closest atoms and distances in Å follow each position.
Positions (direct):
K: 0.0000 0.0000 0.0000  12 V 3.37
V: 0.0000 0.5000 0.5000  2 Br 2.38
V: 0.5000 0.0000 0.5000  2 Br 2.38
V: 0.5000 0.5000 0.0000  2 Br 2.38
Br: 0.5000 0.5000 0.5000  6 V 2.38